*1*
{"formula": "TiZnNF2", "functional": "PBE", "state": "relaxed", "magnetic_moment_mub_per_atom": 0.203, "rho_g_cm3": 4.45, "n_ef_per_ev_atom": 0.42, "cell": [[-2.996, 1.280, 1.860], [1.267, -1.605, 3.146], [2.185, 3.671, 0.992]], "species": ["F", "F", "Ti", "N", "Zn"], "fractional_positions": [[0.500, 0.000, 0.000], [0.000, 0.500, 0.000], [0.500, 0.500, 0.500], [0.000, 0.000, 0.500], [0.000, 0.000, 0.000]]}


*2*
{"formula": "TiZnNF2", "functional": "PBE", "state": "relaxed", "magnetic_moment_mub_per_atom": 0.050, "rho_g_cm3": 4.34, "n_ef_per_ev_atom": 0.36, "cell": [[-1.417, -3.523, -1.134], [2.682, -1.814, 2.284], [-2.590, 0.050, 3.081]], "species": ["F", "F", "N", "Ti", "Zn"], "fractional_positions": [[0.500, 0.000, 0.000], [0.000, 0.500, 0.000], [0.000, 0.000, 0.500], [0.000, 0.000, 0.000], [0.500, 0.500, 0.500]]}


Pick the most stable structure from those above. Pick: *2*